Entry from Alexandria via LeMat-Bulk: a relaxed structure of FeOs2Au (GGA-PBEsol).

Cell lengths 2.684, 2.684, 7.652 Å; angles 90.00, 90.00, 90.00 degrees
Sites, in units of the cell vectors:
Fe: 0.000 0.000 0.000
Os: 0.500 0.500 0.221
Os: 0.500 0.500 0.779
Au: 0.000 0.000 0.500

Values from the calculation:
Energy in eV/atom: -8.906
Formation energy in eV per formula unit: 1.7
Excess energy over the best structure of this formula in the dataset in meV per atom: 140
Crystal system: tetragonal



Entry from Alexandria via LeMat-Bulk: a relaxed structure of FeOs2Au (GGA-PBEsol).

Cell lengths 4.672, 4.672, 4.683 Å; angles 99.75, 99.75, 34.10 degrees
Sites, in units of the cell vectors:
Fe: 0.000 0.000 0.000
Os: 0.254 0.254 0.745
Os: 0.510 0.510 0.545
Au: 0.753 0.753 0.244

Values from the calculation:
Energy in eV/atom: -8.942
Formation energy in eV per formula unit: 1.6
Excess energy over the best structure of this formula in the dataset in meV per atom: 105
Crystal system: monoclinic



Entry from Alexandria via LeMat-Bulk: a relaxed structure of FeOsAu (GGA-PBEsol).

Cell lengths 5.962, 5.962, 5.962 Å; angles 153.74, 153.74, 37.48 degrees
Sites, in units of the cell vectors:
Fe: 0.000 0.000 0.000
Os: 0.367 0.367 0.000
Au: 0.676 0.676 0.000

Values from the calculation:
Energy in eV/atom: -8.074
Formation energy in eV per formula unit: 0.9
Excess energy over the best structure of this formula in the dataset in meV per atom: 0
Crystal system: tetragonal



Entry from Alexandria via LeMat-Bulk: a relaxed structure of FeOsAu (GGA-PBEsol).

Cell lengths 4.813, 4.813, 4.813 Å; angles 147.36, 136.27, 55.62 degrees
Sites, in units of the cell vectors:
Fe: 0.000 0.000 0.000
Os: 0.625 0.625 0.000
Au: 0.316 0.316 0.000

Values from the calculation:
Energy in eV/atom: -7.929
Formation energy in eV per formula unit: 1.3
Excess energy over the best structure of this formula in the dataset in meV per atom: 146
Crystal system: orthorhombic



Entry from Alexandria via LeMat-Bulk: a relaxed structure of FeOs2Au (GGA-PBEsol).

Cell lengths 4.684, 4.684, 4.684 Å; angles 132.07, 132.07, 70.12 degrees
Sites, in units of the cell vectors:
Fe: 0.000 0.000 0.000
Os: 0.500 0.500 0.000
Os: 0.750 0.250 0.500
Au: 0.250 0.750 0.500

Values from the calculation:
Energy in eV/atom: -8.903
Formation energy in eV per formula unit: 1.7
Excess energy over the best structure of this formula in the dataset in meV per atom: 144
Crystal system: tetragonal



Entry from Alexandria via LeMat-Bulk: a relaxed structure of FeP2Au (GGA-PBEsol).

Cell lengths 2.715, 2.832, 7.358 Å; angles 90.00, 90.00, 90.00 degrees
Sites, in units of the cell vectors:
Fe: 0.000 0.000 0.000
P: 0.500 0.000 0.763
P: 0.500 0.500 0.160
Au: 0.500 0.500 0.485

Values from the calculation:
Energy in eV/atom: -6.325
Formation energy in eV per formula unit: -0.8
Excess energy over the best structure of this formula in the dataset in meV per atom: 0
Crystal system: orthorhombic



Entry from Alexandria via LeMat-Bulk: a relaxed structure of FeP2Au (GGA-PBEsol).

Cell lengths 2.709, 2.709, 7.678 Å; angles 90.00, 90.00, 90.00 degrees
Sites, in units of the cell vectors:
Fe: 0.000 0.000 0.000
P: 0.500 0.500 0.179
P: 0.500 0.500 0.821
Au: 0.000 0.000 0.500

Values from the calculation:
Energy in eV/atom: -6.084
Formation energy in eV per formula unit: 0.1
Excess energy over the best structure of this formula in the dataset in meV per atom: 241
Crystal system: tetragonal



Entry from Alexandria via LeMat-Bulk: a relaxed structure of FeP2Au (GGA-PBEsol).

Cell lengths 4.922, 4.856, 3.777 Å; angles 68.20, 66.37, 45.44 degrees
Sites, in units of the cell vectors:
Fe: 0.000 0.000 0.000
P: 0.000 0.500 0.500
P: 0.500 0.000 0.000
Au: 0.500 0.500 0.500

Values from the calculation:
Energy in eV/atom: -5.835
Formation energy in eV per formula unit: 1.1
Excess energy over the best structure of this formula in the dataset in meV per atom: 490
Crystal system: orthorhombic



Question: Which formula does entry 4 have?
Answer: FeOsAu



What did the third record say?
Entry from Alexandria via LeMat-Bulk: a relaxed structure of FeOsAu (GGA-PBEsol).

Cell lengths 5.962, 5.962, 5.962 Å; angles 153.74, 153.74, 37.48 degrees
Sites, in units of the cell vectors:
Fe: 0.000 0.000 0.000
Os: 0.367 0.367 0.000
Au: 0.676 0.676 0.000

Values from the calculation:
Energy in eV/atom: -8.074
Formation energy in eV per formula unit: 0.9
Excess energy over the best structure of this formula in the dataset in meV per atom: 0
Crystal system: tetragonal



Repeat the sixth record exactly.
Entry from Alexandria via LeMat-Bulk: a relaxed structure of FeP2Au (GGA-PBEsol).

Cell lengths 2.715, 2.832, 7.358 Å; angles 90.00, 90.00, 90.00 degrees
Sites, in units of the cell vectors:
Fe: 0.000 0.000 0.000
P: 0.500 0.000 0.763
P: 0.500 0.500 0.160
Au: 0.500 0.500 0.485

Values from the calculation:
Energy in eV/atom: -6.325
Formation energy in eV per formula unit: -0.8
Excess energy over the best structure of this formula in the dataset in meV per atom: 0
Crystal system: orthorhombic